# 1
A plane-wave DFT calculation with PBE was carried out for BeMo3Ir after structural relaxation.

Unit cell a=4.182 b=4.182 c=4.182 alpha=90.00 beta=90.00 gamma=90.00
Sites, in units of the cell vectors:
Mo 0.500 0.000 0.000
Mo 0.000 0.000 0.500
Mo 0.000 0.500 0.000
Ir 0.500 0.500 0.500
Be 0.000 0.000 0.000

Computed properties:
The calculation puts the formation energy from the elements at 0.5603 eV/atom. As for the total energy: -8.456 eV/atom. Its magnetic moment is 0.00 Bohr magnetons per cell. Its energy above the most stable polymorph in this dataset is 0.000 eV/atom.

***

# 2
A plane-wave DFT calculation with PBE was carried out for Ca2NdNbN4 after structural relaxation.

Unit cell a=6.878 b=6.878 c=6.940 alpha=120.30 beta=120.30 gamma=90.49
Sites, in units of the cell vectors:
N 0.720 0.282 0.501
N 0.251 0.249 0.032
N 0.280 0.718 0.499
N 0.749 0.751 0.968
N 0.782 0.220 0.001
N 0.251 0.249 0.468
N 0.218 0.780 0.999
N 0.749 0.751 0.532
Ca 0.500 0.500 0.000
Ca 0.000 0.000 0.500
Ca 0.500 0.000 0.500
Ca 0.500 0.000 0.000
Nb 0.500 0.500 0.500
Nb 0.000 0.000 0.000
Nd 0.000 0.500 0.000
Nd 0.000 0.500 0.500

Computed properties:
As for the total energy: -7.613 eV/atom. Its magnetic moment is 0.00 Bohr magnetons per cell.

***

| no. | D(E_F) (states/eV per cell) |
| --- | --- |
| 1 | 3.6 |
| 2 | 0.5 |